VASP calculation (PBE) on an optimized crystal structure of LiNi3C.

Properties
- V: 155.5 Å³/cell
- Crystal system: tetragonal
- DFT formation energy: 409 kJ/mol of formula units
- Space group: I-4m2
- DFT total energy: -4.8482 eV per atom
- Energy above the most stable polymorph in this dataset: 926 meV/atom
- Magnetic moment: 0.19 μB per atom
- DOS at the Fermi energy: 3.929 states/eV/f.u.

a = 9.785 Å, b = 9.785 Å, c = 9.785 Å
α = 155.94°, β = 155.94°, γ = 34.28°
Fractional coordinates of all 10 atoms:
Li: 0.000 0.000 0.000
Li: 0.750 0.250 0.500
Ni: 0.370 0.125 0.244
Ni: 0.376 0.376 0.000
Ni: 0.624 0.624 0.000
Ni: 0.875 0.119 0.244
Ni: 0.875 0.630 0.756
Ni: 0.881 0.125 0.756
C: 0.123 0.623 0.500
C: 0.377 0.877 0.500

---

VASP calculation (PBE) on an optimized crystal structure of LiNi3C.

Properties
- V: 206.6 Å³/cell
- Crystal system: monoclinic
- DFT formation energy: 51 kJ/mol of formula units
- Space group: P2_1/c
- DFT total energy: -5.5901 eV per atom
- Energy above the most stable polymorph in this dataset: 184 meV/atom
- Magnetic moment: 0.00 μB per atom
- DOS at the Fermi energy: 3.076 states/eV/f.u.

a = 6.391 Å, b = 4.981 Å, c = 7.196 Å
α = 90.00°, β = 115.58°, γ = 90.00°
Fractional coordinates of all 20 atoms:
Li: 0.106 0.158 0.117
Li: 0.106 0.342 0.617
Li: 0.894 0.658 0.383
Li: 0.894 0.842 0.883
Ni: 0.136 0.627 0.206
Ni: 0.136 0.873 0.706
Ni: 0.299 0.044 0.468
Ni: 0.299 0.456 0.968
Ni: 0.457 0.595 0.639
Ni: 0.457 0.905 0.139
Ni: 0.543 0.095 0.861
Ni: 0.543 0.405 0.361
Ni: 0.701 0.544 0.032
Ni: 0.701 0.956 0.532
Ni: 0.864 0.127 0.294
Ni: 0.864 0.373 0.794
C: 0.424 0.745 0.877
C: 0.424 0.755 0.377
C: 0.576 0.245 0.623
C: 0.576 0.255 0.123

---

VASP calculation (PBE) on an optimized crystal structure of LiNi3C.

Properties
- V: 104.2 Å³/cell
- Crystal system: monoclinic
- DFT formation energy: -24 kJ/mol of formula units
- Space group: C2
- DFT total energy: -5.7464 eV per atom
- Energy above the most stable polymorph in this dataset: 28 meV/atom
- Magnetic moment: 0.00 μB per atom
- DOS at the Fermi energy: 0.690 states/eV/f.u.

a = 5.535 Å, b = 5.535 Å, c = 4.933 Å
α = 116.38°, β = 116.38°, γ = 52.56°
Fractional coordinates of all 10 atoms:
Li: 0.000 0.000 0.000
Li: 0.999 0.001 0.500
Ni: 0.050 0.447 0.937
Ni: 0.447 0.049 0.560
Ni: 0.500 0.500 0.251
Ni: 0.500 0.500 0.749
Ni: 0.553 0.950 0.063
Ni: 0.951 0.553 0.440
C: 0.328 0.327 0.327
C: 0.673 0.672 0.673

---

VASP calculation (PBE) on an optimized crystal structure of LiNiC.

Properties
- V: 127.1 Å³/cell
- Crystal system: monoclinic
- DFT formation energy: 17 kJ/mol of formula units
- Space group: C2/m
- DFT total energy: -5.5801 eV per atom
- Energy above the most stable polymorph in this dataset: 29 meV/atom
- Magnetic moment: 0.00 μB per atom
- DOS at the Fermi energy: 0.446 states/eV/f.u.

a = 10.014 Å, b = 2.566 Å, c = 6.473 Å
α = 90.00°, β = 130.15°, γ = 90.00°
Fractional coordinates of all 12 atoms:
Li: 0.233 0.000 0.232
Li: 0.267 0.500 0.768
Li: 0.733 0.500 0.232
Li: 0.767 0.000 0.768
Ni: 0.000 0.000 0.312
Ni: 0.000 0.000 0.688
Ni: 0.500 0.500 0.312
Ni: 0.500 0.500 0.688
C: 0.000 0.500 0.105
C: 0.000 0.500 0.895
C: 0.500 0.000 0.105
C: 0.500 0.000 0.895